(1)
A plane-wave DFT calculation with PBE was carried out for a geometry-optimized KSiW2Br structure.

a = 4.6911 Å, b = 4.6911 Å, c = 5.5147 Å
α = 90.00°, β = 90.00°, γ = 90.00°
Fractional coordinates of all 5 atoms:
K 0.0000 0.0000 0.0000
Si 0.5000 0.5000 0.0000
W 0.0000 0.5000 0.5000
W 0.5000 0.0000 0.5000
Br 0.0000 0.0000 0.5000

## Properties
- formation energy from raw total energies (eV per atom) = 2.140
- symmetry = P4/mmm



(2)
A plane-wave DFT calculation with PBE was carried out for a geometry-optimized K2SmBr5 structure.

a = 7.6738 Å, b = 8.5787 Å, c = 8.5815 Å
α = 84.05°, β = 66.43°, γ = 66.53°
Fractional coordinates of all 8 atoms:
K 0.0000 0.0000 0.0000
K 0.0010 0.4408 0.5585
Sm 0.2605 0.4078 0.9665
Br 0.0594 0.6712 0.2299
Br 0.1183 0.2033 0.2242
Br 0.1199 0.6651 0.7616
Br 0.3116 0.1709 0.7297
Br 0.6652 0.3455 0.9043

## Properties
- energy above the most stable polymorph in this dataset (meV per atom) = 74.7
- formation energy from raw total energies (eV per atom) = -1.769
- symmetry = P1



(3)
A plane-wave DFT calculation with PBE was carried out for a geometry-optimized KSm2Br7 structure.

a = 8.6468 Å, b = 8.6468 Å, c = 5.7056 Å
α = 90.00°, β = 90.00°, γ = 116.02°
Fractional coordinates of all 10 atoms:
K 0.0000 0.0000 0.0000
Sm 0.3021 0.6979 0.5000
Sm 0.6979 0.3021 0.5000
Br 0.0498 0.3251 0.5000
Br 0.2918 0.7082 0.0000
Br 0.3251 0.0498 0.5000
Br 0.5000 0.5000 0.5000
Br 0.6749 0.9502 0.5000
Br 0.7082 0.2918 0.0000
Br 0.9502 0.6749 0.5000

## Properties
- formation energy from raw total energies (eV per atom) = -1.814
- symmetry = Cmmm



(4)
A plane-wave DFT calculation with PBE was carried out for a geometry-optimized KSmBr2 structure.

a = 10.9943 Å, b = 10.9943 Å, c = 10.9943 Å
α = 20.59°, β = 20.59°, γ = 20.59°
Fractional coordinates of all 4 atoms:
K 0.0000 0.0000 0.0000
Sm 0.5000 0.5000 0.5000
Br 0.1049 0.1049 0.1049
Br 0.8951 0.8951 0.8951

## Properties
- formation energy from raw total energies (eV per atom) = -1.201
- symmetry = R-3m